Here is a geometry-optimized Pr2SnP3Rh4 structure from the Alexandria database. Energies are from PBE.

SG   P-4m2, No. 115
Spin magnetization   0.0 μB/cell
Crystal system   tetragonal
Formation energy   -0.938 eV per atom
Raw total energy   -68.574 eV/cell

Unit cell a=4.1123 b=4.1123 c=10.6387 alpha=90.00 beta=90.00 gamma=90.00
Fractional coordinates of all 10 atoms:
Pr1 0.0000 0.5000 0.2373
Pr2 0.5000 0.0000 0.7627
Sn1 0.0000 0.0000 0.5000
P1 0.0000 0.5000 0.8721
P2 0.5000 0.0000 0.1279
P3 0.5000 0.5000 0.5000
Rh1 0.0000 0.0000 0.0000
Rh2 0.0000 0.5000 0.6536
Rh3 0.5000 0.0000 0.3464
Rh4 0.5000 0.5000 0.0000